Record 1
A plane-wave DFT calculation with GGA-PBE was carried out for Hg3SbAsS3 after structural relaxation.

```
32
Lattice="-9.5521 -4.3700 -5.7135 2.7181 -2.1290 -2.9158 0.5783 -12.7640 9.8589" Properties=species:S:1:pos:R:3 pbc="T T T"
Hg -0.1937 -4.9168 1.8381
Hg -0.6131 -2.0719 -0.6812
Hg -5.0002 -10.7171 1.2844
Hg -5.8885 -7.9952 -5.8590
Hg -4.5412 -13.5930 3.7612
Hg -1.5641 -11.6119 2.7219
Hg -0.3672 -11.2678 7.0885
Hg -4.6916 -7.6511 -1.4924
Hg -1.7145 -5.6700 -2.5317
Hg -1.2555 -8.5459 -0.0550
Hg -5.6425 -17.1910 1.9106
Hg -6.0620 -14.3461 -0.6086
S -6.4316 -8.8701 -2.7429
S 0.1760 -10.3929 3.9724
S -7.0335 -4.9728 -5.6864
S 0.6426 -7.2134 1.9228
S -2.7520 -8.5559 2.9406
S -6.8983 -12.0495 -0.6933
S 0.7778 -14.2901 6.9159
S -2.5097 -12.1716 6.2697
S -3.4280 -2.6862 -1.6754
S -2.8276 -16.5767 2.9049
S -3.7460 -7.0914 -5.0402
S -3.5036 -10.7071 -1.7111
Sb -5.2804 -4.0960 -4.1242
Sb -5.6978 -11.2384 -2.8001
Sb -0.9752 -15.1670 5.3537
Sb -0.5579 -8.0245 4.0296
As -3.5187 -12.7880 1.5854
As -7.8302 -14.5669 2.3673
As -2.7369 -6.4749 -0.3559
As 1.5745 -4.6960 -1.1378
```

---

Record 2
A plane-wave DFT calculation with GGA-PBE was carried out for NaFeRe after structural relaxation.

```
3
Lattice="0.0000 2.8746 2.8746 2.8746 0.0000 2.8746 2.8746 2.8746 0.0000" Properties=species:S:1:pos:R:3 pbc="T T T"
Fe 0.0000 0.0000 0.0000
Re 4.3120 4.3120 4.3120
Na 1.4373 1.4373 1.4373
```

Calculated values
M_tot = 0.728 Bohr magnetons per cell

---

Record 3
A plane-wave DFT calculation with GGA-PBE was carried out for ErAlAsO after structural relaxation.

```
8
Lattice="3.9911 0.0000 0.0000 0.0000 6.6290 0.0000 0.0000 0.0000 5.6803" Properties=species:S:1:pos:R:3 pbc="T T T"
Al 1.9956 3.8728 3.1747
Al 1.9956 2.7561 0.3346
Er 0.0000 5.4267 5.1684
Er 0.0000 1.2023 2.3283
As 0.0000 1.6245 5.1279
As 0.0000 5.0044 2.2877
O 1.9956 4.3310 5.0126
O 1.9956 2.2980 2.1724
```

Calculated values
M_tot = 0.016 Bohr magnetons per cell

---

Record 4
A plane-wave DFT calculation with GGA-PBE was carried out for PPdPbO after structural relaxation.

```
8
Lattice="4.4572 0.0000 0.0000 0.0000 4.4572 0.0000 0.0000 0.0000 8.5636" Properties=species:S:1:pos:R:3 pbc="T T T"
Pb 0.0000 0.0000 4.2818
Pb 2.2286 2.2286 4.2818
Pd 2.2286 0.0000 0.2899
Pd 0.0000 2.2286 8.2736
P 2.2286 0.0000 2.5197
P 0.0000 2.2286 6.0438
O 2.2286 2.2286 0.0000
O 0.0000 0.0000 0.0000
```

---

One value per record, in order, for E_tot: -92.327; -17.971; -48.756; -36.998 eV for the cell shown.